# 1
Compound: ThZr2Ti
Source: Alexandria
Functional: PBE
Structure: relaxed

```
ThZr2Ti
1.0
7.201 0.000 0.000
0.000 7.201 0.000
0.000 0.000 7.201
Th Zr Ti
4 8 4
direct
0.000 0.000 0.000
0.000 0.500 0.500
0.500 0.000 0.500
0.500 0.500 0.000
0.250 0.250 0.250
0.250 0.250 0.750
0.250 0.750 0.250
0.250 0.750 0.750
0.750 0.250 0.250
0.750 0.250 0.750
0.750 0.750 0.250
0.750 0.750 0.750
0.000 0.000 0.500
0.000 0.500 0.000
0.500 0.000 0.000
0.500 0.500 0.500
```

Output
E above lowest polymorph in eV per atom: 0.0649
Final energy in eV per cell: -126.76
ΔH_f (0 K) in kJ per mole of atoms: 17.4
Calculated volume in Å³ per cell: 373


# 2
Compound: AcLu2Te
Source: Alexandria
Functional: PBE
Structure: relaxed

```
AcLu2Te
1.0
3.818 0.000 0.000
0.000 3.818 0.000
0.000 0.000 8.505
Ac Lu Te
1 2 1
direct
0.000 0.000 0.000
0.500 0.500 0.292
0.500 0.500 0.708
0.000 0.000 0.500
```

Output
E above lowest polymorph in eV per atom: 0.0000
Uncorrected formation energy in kJ per mole of atoms: -45.5
Final energy in eV per cell: -18.18
Calculated volume in Å³ per cell: 124


# 3
Compound: YEr2Ru2
Source: Alexandria
Functional: PBE
Structure: relaxed

```
YEr2Ru2
1.0
5.377 0.000 0.000
0.000 4.400 0.000
-1.536 0.000 10.108
Y Er Ru
2 4 4
direct
0.069 0.250 0.277
0.931 0.750 0.723
0.254 0.250 0.973
0.390 0.250 0.612
0.610 0.750 0.388
0.746 0.750 0.027
0.133 0.750 0.455
0.257 0.750 0.148
0.743 0.250 0.852
0.867 0.250 0.545
```

Output
E above lowest polymorph in eV per atom: 0.0995
Final energy in eV per cell: -70.63
ΔH_f (0 K) in kJ per mole of atoms: -22.7
Calculated volume in Å³ per cell: 239


# 4
Compound: K3Th2NiS6
Source: Alexandria
Functional: PBE
Structure: relaxed

```
K3Th2NiS6
1.0
3.448 -6.329 0.000
3.448 6.329 0.000
-2.215 0.000 7.367
K Th Ni S
3 2 1 6
direct
0.000 0.000 0.000
0.343 0.657 0.000
0.657 0.343 0.000
0.165 0.835 0.500
0.835 0.165 0.500
0.500 0.500 0.500
0.078 0.435 0.285
0.261 0.261 0.678
0.435 0.078 0.285
0.565 0.922 0.715
0.739 0.739 0.322
0.922 0.565 0.715
```

Output
Uncorrected formation energy in kJ per mole of atoms: -135.3
Final energy in eV per cell: -65.51
Calculated volume in Å³ per cell: 322


# 5
Compound: Nd2Th4N
Source: Alexandria
Functional: PBE
Structure: relaxed

```
Nd2Th4N
1.0
5.074 0.000 0.000
0.000 5.074 0.000
0.000 0.000 17.378
Nd Th N
4 8 2
direct
0.000 0.000 0.152
0.000 0.000 0.848
0.500 0.500 0.348
0.500 0.500 0.652
0.000 0.000 0.363
0.000 0.000 0.637
0.000 0.500 0.000
0.000 0.500 0.500
0.500 0.000 0.000
0.500 0.000 0.500
0.500 0.500 0.137
0.500 0.500 0.863
0.000 0.000 0.500
0.500 0.500 0.000
```

Output
Uncorrected formation energy in kJ per mole of atoms: -22.4
Final energy in eV per cell: -98.33
Calculated volume in Å³ per cell: 447


# 6
Compound: Nd8Ho6Er
Source: Alexandria
Functional: PBE
Structure: relaxed

```
Nd8Ho6Er
1.0
9.425 0.000 0.000
-4.713 8.163 0.000
0.000 0.000 6.574
Nd Ho Er
8 6 1
direct
0.037 0.750 0.167
0.250 0.287 0.167
0.287 0.037 0.833
0.333 0.667 0.120
0.667 0.333 0.880
0.713 0.963 0.167
0.750 0.713 0.833
0.963 0.250 0.833
0.094 0.657 0.657
0.343 0.437 0.657
0.437 0.094 0.343
0.563 0.906 0.657
0.657 0.563 0.343
0.906 0.343 0.343
0.000 0.000 0.500
```

Output
E above lowest polymorph in eV per atom: 0.0486
Final energy in eV per cell: -67.58
ΔH_f (0 K) in kJ per mole of atoms: 16.7
Calculated volume in Å³ per cell: 506